PBE Er6Tl5Au, relaxed; formation enthalpy at 0 K = -4.67 eV/f.u.; V = 313.5 Å³/cell; space-group type = P2/m, No. 10
1.0
5.2779 0.0000 0.0000
0.0000 7.4993 0.0000
-2.6164 0.0000 7.9201
Er Tl Au
6 5 1
direct
0.0000 0.2393 0.0000
0.0000 0.7607 0.0000
0.3386 0.2445 0.6772
0.3386 0.7555 0.6772
0.6614 0.2445 0.3228
0.6614 0.7555 0.3228
0.1673 0.0000 0.3349
0.1686 0.5000 0.3375
0.5000 0.5000 0.0000
0.8314 0.5000 0.6625
0.8327 0.0000 0.6651
0.5000 0.0000 0.0000

PBE ReAs2RhSe, relaxed; E_form (uncorrected) = 4.72 eV per formula unit; V = 110.0 Å³/cell; energy above the most stable polymorph in this dataset = 0 meV/atom; space-group type = P4/mmm, No. 123
1.0
4.7645 0.0000 0.0000
0.0000 4.7645 0.0000
0.0000 0.0000 4.8453
Re As Rh Se
1 2 1 1
direct
0.0000 0.0000 0.0000
0.0000 0.5000 0.0000
0.5000 0.0000 0.0000
0.5000 0.5000 0.5000
0.0000 0.0000 0.5000

PBE Bi2Pd8Rh, relaxed; formation enthalpy at 0 K = 0.49 eV/f.u.; V = 203.2 Å³/cell; space-group type = C2/m, No. 12
1.0
6.4093 -3.3862 0.0000
6.4093 3.3862 0.0000
-1.4625 0.0000 4.6812
Bi Pd Rh
2 8 1
direct
0.1468 0.1468 0.0151
0.8532 0.8532 0.9849
0.2326 0.6288 0.7270
0.2357 0.2357 0.5819
0.3712 0.7674 0.2730
0.3719 0.3719 0.1896
0.6281 0.6281 0.8104
0.6288 0.2326 0.7270
0.7643 0.7643 0.4181
0.7674 0.3712 0.2730
0.0000 0.0000 0.5000

PBE BiMoS2N, relaxed; E_form (uncorrected) = 7.63 eV per formula unit; V = 115.7 Å³/cell; energy above the most stable polymorph in this dataset = 1481 meV/atom; space-group type = P4/mmm, No. 123
1.0
5.2284 0.0000 0.0000
0.0000 5.2284 0.0000
0.0000 0.0000 4.2330
Bi Mo S N
1 1 2 1
direct
0.0000 0.0000 0.0000
0.5000 0.5000 0.5000
0.0000 0.5000 0.0000
0.5000 0.0000 0.0000
0.0000 0.0000 0.5000

PBE MgTcNiRu, relaxed; formation enthalpy at 0 K = 0.40 eV/f.u.; V = 224.3 Å³/cell; space-group type = F-43m, No. 216
1.0
6.0762 0.0000 0.0000
0.0000 6.0762 0.0000
0.0000 0.0000 6.0762
Mg Tc Ni Ru
4 4 4 4
direct
0.0000 0.0000 0.0000
0.0000 0.5000 0.5000
0.5000 0.0000 0.5000
0.5000 0.5000 0.0000
0.0000 0.0000 0.5000
0.0000 0.5000 0.0000
0.5000 0.0000 0.0000
0.5000 0.5000 0.5000
0.2500 0.2500 0.2500
0.2500 0.7500 0.7500
0.7500 0.2500 0.7500
0.7500 0.7500 0.2500
0.2500 0.2500 0.7500
0.2500 0.7500 0.2500
0.7500 0.2500 0.2500
0.7500 0.7500 0.7500

PBE Cs2LiTl2, relaxed; formation enthalpy at 0 K = 1.00 eV/f.u.; V = 503.0 Å³/cell; energy above the most stable polymorph in this dataset = 310 meV/atom; space-group type = P4/mbm, No. 127
1.0
11.3492 0.0000 0.0000
0.0000 11.3492 0.0000
0.0000 0.0000 3.9048
Cs Li Tl
4 2 4
direct
0.1947 0.3053 0.0000
0.3053 0.8053 0.0000
0.6947 0.1947 0.0000
0.8053 0.6947 0.0000
0.0000 0.0000 0.0000
0.5000 0.5000 0.0000
0.0966 0.5966 0.5000
0.4034 0.0966 0.5000
0.5966 0.9034 0.5000
0.9034 0.4034 0.5000